Computed, not measured: a geometry-optimized SiWNF2 structure at the PBE+U level of DFT.

Geometry as POSCAR:
```
SiWNF2
1.0
4.419 0.000 0.000
0.000 4.419 0.000
0.000 0.000 3.305
Si W N F
1 1 1 2
Direct
0.000 0.000 0.000
0.500 0.500 0.500
0.000 0.000 0.500
0.000 0.500 0.000
0.500 0.000 0.000
```

- excess energy over the best structure of this formula in the dataset (eV per atom) = 0.135
- uncorrected energy (eV per atom) = -5.283